VASP calculation (PBE) on a relaxed NbV2H4 crystal.

Calculated values
Its crystal system is tetragonal. The value obtained for the energy above the most stable polymorph in this dataset is 0.006 eV per atom. As for the space group: I4_1/a.

```
NbV2H4
1.0
4.632 0.000 -2.587
-1.445 4.401 -2.587
-0.022 -0.030 5.402
H Nb V
8 2 4
Cartesian
2.079 0.599 1.744
-0.107 2.125 1.788
3.057 1.077 -1.854
0.148 1.131 3.728
2.595 2.657 1.184
1.639 2.209 -0.619
2.720 3.809 -2.457
0.531 3.877 -2.603
1.594 2.201 -2.587
3.102 1.085 0.114
-0.691 3.843 -1.237
0.032 1.643 0.057
-0.702 3.828 1.464
1.615 3.828 0.171
```